# ZnFeS2

A geometry-optimized ZnFeS2 structure (PBE-GGA, the Alexandria database).

As for the magnetization: 3.87 μB per formula unit. The formation energy without anion corrections comes out at -452.2 meV/atom.

Structure (CIF):
```
data_ZnFeS2
_chemical_formula_sum 'Zn3 Fe3 S6'
_cell_length_a 3.8033
_cell_length_b 3.8033
_cell_length_c 18.8500
_cell_angle_alpha 90.00
_cell_angle_beta 90.00
_cell_angle_gamma 120.00
_symmetry_space_group_name_H-M 'R 3 m'
_symmetry_Int_Tables_number 160
_symmetry_space_group_name_Hall 'R 3 -2"'
loop_
_atom_site_label
_atom_site_fract_x
_atom_site_fract_y
_atom_site_fract_z
_atom_site_occupancy
Zn1 0.0000 0.0000 0.0000 1
Fe1 0.0000 0.0000 0.4994 1
S1 0.0000 0.0000 0.1252 1
S2 0.0000 0.0000 0.6228 1
```

---

# LaSm2Y3Te6

A geometry-optimized LaSm2Y3Te6 structure (PBE-GGA, the Alexandria database).

As for the magnetization: 0.00 μB per formula unit. The formation energy without anion corrections comes out at -1384.1 meV/atom.

Structure (CIF):
```
data_LaSm2Y3Te6
_chemical_formula_sum 'La2 Sm4 Y6 Te12'
_cell_length_a 19.333
_cell_length_b 4.403
_cell_length_c 8.912
_cell_angle_alpha 90.00
_cell_angle_beta 103.89
_cell_angle_gamma 90.00
_symmetry_space_group_name_H-M 'C 1 2/m 1'
_symmetry_Int_Tables_number 12
loop_
_symmetry_equiv_pos_as_xyz
'x,y,z'
'-x,-y,-z'
'-x,y,-z'
'x,-y,z'
'x+1/2,y+1/2,z'
'-x+1/2,-y+1/2,-z'
'-x+1/2,y+1/2,-z'
'x+1/2,-y+1/2,z'
loop_
_atom_site_label
_atom_site_fract_x
_atom_site_fract_y
_atom_site_fract_z
_atom_site_occupancy
La1 0.000 0.000 0.000 1
Sm1 0.167 0.500 0.334 1
Y1 0.000 0.000 0.500 1
Y2 0.165 0.500 0.832 1
Te1 0.000 0.500 0.261 1
Te2 0.165 0.000 0.587 1
Te3 0.171 0.000 0.081 1
```

---

# CaCoAu2

A geometry-optimized CaCoAu2 structure (PBE-GGA, the Alexandria database).

As for the energy above the most stable polymorph in this dataset: 113.2 meV per atom. As for the magnetization: 1.73 μB per formula unit.

Structure (CIF):
```
data_CaCoAu2
_chemical_formula_sum 'Ca4 Co4 Au8'
_cell_length_a 6.734
_cell_length_b 6.734
_cell_length_c 6.734
_cell_angle_alpha 90.00
_cell_angle_beta 90.00
_cell_angle_gamma 90.00
_symmetry_space_group_name_H-M 'F m -3 m'
_symmetry_Int_Tables_number 225
_symmetry_space_group_name_Hall '-F 4 2 3'
loop_
_atom_site_label
_atom_site_fract_x
_atom_site_fract_y
_atom_site_fract_z
_atom_site_occupancy
Ca1 0.000 0.000 0.000 1
Co1 0.000 0.000 0.500 1
Au1 0.250 0.250 0.250 1
```

---

# Na4Hf3BeS8

A geometry-optimized Na4Hf3BeS8 structure (PBE-GGA, the Alexandria database).

As for the magnetization: 0.00 μB per formula unit. The formation energy without anion corrections comes out at -1320.3 meV/atom.

Structure (CIF):
```
data_Na4Hf3BeS8
_chemical_formula_sum 'Na12 Hf9 Be3 S24'
_cell_length_a 7.2917
_cell_length_b 7.2917
_cell_length_c 20.0602
_cell_angle_alpha 90.00
_cell_angle_beta 90.00
_cell_angle_gamma 120.00
_symmetry_space_group_name_H-M 'R -3 m'
_symmetry_Int_Tables_number 166
_symmetry_space_group_name_Hall '-R 3 2"'
loop_
_atom_site_label
_atom_site_fract_x
_atom_site_fract_y
_atom_site_fract_z
_atom_site_occupancy
Na1 0.0000 0.0000 0.0000 1
Na2 0.0000 0.5000 0.0000 1
Hf1 0.0000 0.5000 0.5000 1
Be1 0.0000 0.0000 0.5000 1
S1 0.0000 0.0000 0.2414 1
S2 0.0151 0.5075 0.2364 1
```

---

# Cr2FeMoH

A geometry-optimized Cr2FeMoH structure (PBE-GGA, the Alexandria database).

As for the electronic total energy: -41.14 eV per formula unit. As for the magnetization: 1.09 μB per formula unit.

Structure (CIF):
```
data_Cr2FeMoH
_chemical_formula_sum 'Cr2 Fe1 Mo1 H1'
_cell_length_a 3.792
_cell_length_b 3.792
_cell_length_c 3.606
_cell_angle_alpha 90.00
_cell_angle_beta 90.00
_cell_angle_gamma 90.00
_symmetry_space_group_name_H-M 'P 4/m m m'
_symmetry_Int_Tables_number 123
_symmetry_space_group_name_Hall '-P 4 2'
loop_
_atom_site_label
_atom_site_fract_x
_atom_site_fract_y
_atom_site_fract_z
_atom_site_occupancy
Cr1 0.000 0.500 0.000 1
Fe1 0.000 0.000 0.500 1
Mo1 0.500 0.500 0.500 1
H1 0.000 0.000 0.000 1
```

---

# Ti2GaPt

A geometry-optimized Ti2GaPt structure (PBE-GGA, the Alexandria database).

As for the electronic total energy: -25.21 eV per formula unit. As for the magnetization: 0.00 μB per formula unit.

Structure (CIF):
```
data_Ti2GaPt
_chemical_formula_sum 'Ti4 Ga2 Pt2'
_cell_length_a 2.901
_cell_length_b 2.737
_cell_length_c 17.281
_cell_angle_alpha 90.00
_cell_angle_beta 90.00
_cell_angle_gamma 90.00
_symmetry_space_group_name_H-M 'A m m 2'
_symmetry_Int_Tables_number 38
loop_
_symmetry_equiv_pos_as_xyz
'x,y,z'
'-x,-y,z'
'-x,y,z'
'x,-y,z'
'x,y+1/2,z+1/2'
'-x,-y+1/2,z+1/2'
'-x,y+1/2,z+1/2'
'x,-y+1/2,z+1/2'
loop_
_atom_site_label
_atom_site_fract_x
_atom_site_fract_y
_atom_site_fract_z
_atom_site_occupancy
Ti1 0.000 0.000 0.000 1
Ti2 0.500 0.000 0.133 1
Ga1 0.000 0.000 0.266 1
Pt1 0.500 0.000 0.872 1
```